## CrNi2S4 (PBE)

Data for a geometry-optimized CrNi2S4 structure.

Structure (POSCAR):
```
CrNi2S4
1.0
-0.795 3.829 -2.525
-4.469 -1.224 -0.448
-3.853 4.079 3.107
Ni S Cr
2 4 1
direct
0.395 0.395 0.210
0.605 0.605 0.790
0.207 0.207 0.585
0.793 0.793 0.415
0.000 0.500 0.000
0.500 0.000 0.000
0.000 0.000 0.000
```

Summary:
Energy above the most stable polymorph in this dataset   613 meV per atom
Crystal system   tetragonal
Symmetry   I4/mmm, No. 139
ΔE_f (raw)   124 meV per atom